Cu3Te2I: relaxed, GGA-PBE.

Structure (POSCAR):
```
Cu3Te2I
1.0
4.2673 0.0000 -0.8206
-0.8425 8.3116 -4.3800
0.0280 -4.2909 11.6459
Cu Te I
6 4 2
direct
0.0775 0.1762 0.1550
0.6189 0.9581 0.2378
0.9225 0.8238 0.8450
0.3811 0.0419 0.7622
0.1917 0.1793 0.3835
0.8083 0.8207 0.6165
0.2378 0.8702 0.4756
0.0345 0.8270 0.0689
0.9655 0.1730 0.9311
0.7622 0.1298 0.5244
0.6603 0.4338 0.3207
0.3397 0.5662 0.6793
```

Values from the calculation:
Fermi-level density of states	0.2695	states/eV/atom
raw total energy	-3.362	eV/atom
total magnetization	0.00	μB/atom